Here is a relaxed structure of Mg2ZnRh from the Alexandria database. Energies are from PBE.

Cell: 9.201 9.201 9.201 Å, 18.62 18.62 18.62°
Each line ends with the local moment (μB).
Atoms (fractional coordinates):
Mg  0.992  0.992  0.992  0.00
Mg  0.508  0.508  0.508  0.00
Rh  0.250  0.250  0.250  0.15
Zn  0.750  0.750  0.750  0.00

Results
Its space group is R-3m (166).

Here is a relaxed structure of SmHoEr2 from the Alexandria database. Energies are from PBE.

Cell: 3.563 3.563 11.625 Å, 81.18 81.18 60.00°
Atoms (fractional coordinates):
Sm  0.501  0.501  0.498
Ho  0.666  0.666  0.001
Er  0.082  0.082  0.753
Er  0.251  0.251  0.247

Results
Its space group is R3m (160). The energy above the lowest structure with this stoichiometry comes out at 5 meV/atom.

Here is a relaxed structure of ZrHgP2 from the Alexandria database. Energies are from PBE.

Cell: 6.269 6.269 3.810 Å, 89.98 89.98 33.08°
Atoms (fractional coordinates):
Hg  0.232  0.232  0.125
P  0.020  0.020  0.125
P  0.792  0.792  0.625
Zr  0.456  0.456  0.625

Results
Its space group is Amm2 (38).

| no. | E_tot (eV per atom) | energy relative to the elements (kcal/mol of atoms) |
| --- | --- | --- |
| 1 | -3.082 | -2.956 |
| 2 | -4.589 | 0.376 |
| 3 | -5.313 | -9.130 |